This record from Alexandria describes an optimized crystal structure of Pm3Be2Ge3. The functional is PBE-GGA.

Values from the calculation:
The value obtained for the total magnetization is 0.06 μB/atom. The value obtained for the formation energy is -0.59 eV per atom. As for the density of states at the Fermi level: 7.14 states/eV/cell. Its mass density is 6.85 g/cm3. Its crystal system is orthorhombic.

The structure in POSCAR format:
```
Pm3Be2Ge3
1.0
2.053 -5.564 0.000
2.053 5.564 0.000
0.000 0.000 14.229
Pm Be Ge
6 4 6
Direct
0.069 0.931 0.608
0.069 0.931 0.892
0.357 0.643 0.750
0.643 0.357 0.250
0.931 0.069 0.108
0.931 0.069 0.392
0.231 0.769 0.102
0.231 0.769 0.398
0.769 0.231 0.602
0.769 0.231 0.898
0.348 0.652 0.250
0.351 0.649 0.544
0.351 0.649 0.956
0.649 0.351 0.044
0.649 0.351 0.456
0.652 0.348 0.750
```